This record from Alexandria describes a geometry-optimized AgWS2O8 structure. The functional is PBE with a Hubbard U.

Calculated density (Mg/m³): 4.64
Symmetry: P-3m1
DFT total energy (eV per atom): -6.073

Unit cell a=5.263 b=5.263 c=7.227 alpha=90.00 beta=90.00 gamma=120.00
Each line ends with the local moment (μB).
Atoms (fractional coordinates):
Ag: 0.000 0.000 0.500  0.00
W: 0.000 0.000 0.000  2.75
S: 0.333 0.667 0.736  0.01
S: 0.667 0.333 0.264  0.01
O: 0.179 0.358 0.807  0.01
O: 0.179 0.821 0.807  0.01
O: 0.642 0.821 0.807  0.01
O: 0.358 0.179 0.193  0.01
O: 0.667 0.333 0.464  0.00
O: 0.333 0.667 0.536  0.00
O: 0.821 0.642 0.193  0.01
O: 0.821 0.179 0.193  0.01